[1]
First-principles (meta-GGA SCAN) data for a PBEsol-optimized structure of Re2AsRh, as listed in the Alexandria database.

Unit cell a=8.5171 b=8.5171 c=8.5171 alpha=18.99 beta=18.99 gamma=18.99
Closest atoms and distances in Å follow each position.
Element x y z (fractional)
1 Re 0.2475 0.2475 0.2475  3 As 2.60, 3 Rh 2.70, 6 Re 2.81
2 Re 0.7525 0.7525 0.7525  3 As 2.60, 3 Rh 2.70, 6 Re 2.81
3 As 0.5000 0.5000 0.5000  6 Re 2.60, 6 As 2.81
4 Rh 0.0000 0.0000 0.0000  6 Re 2.70, 6 Rh 2.81

Values from the calculation:
Calculated density = 16.0 g cm⁻³
Formation energy = 0.213 eV per atom
DOS(E_F) = 2.4 states/eV/cell

***

[2]
First-principles (meta-GGA SCAN) data for a PBEsol-optimized structure of Re2AsRh, as listed in the Alexandria database.

Unit cell a=4.8615 b=4.8615 c=4.4582 alpha=93.44 beta=93.44 gamma=34.06
Closest atoms and distances in Å follow each position.
Element x y z (fractional)
1 Re 0.2260 0.2260 0.2377  1 As 2.47, 4 Re 2.61-2.75, 2 Rh 2.70
2 Re 0.7740 0.7740 0.7623  1 As 2.47, 4 Re 2.61-2.75, 2 Rh 2.70
3 As 0.0000 0.0000 0.5000  2 Re 2.47, 4 Rh 2.65
4 Rh 0.5000 0.5000 0.0000  4 As 2.65, 6 Re 2.70-2.82, 2 Rh 2.85

Values from the calculation:
Calculated density = 15.5 g cm⁻³
Formation energy = 0.181 eV per atom
DOS(E_F) = 3.1 states/eV/cell

***

[3]
First-principles (meta-GGA SCAN) data for a PBEsol-optimized structure of ReAsRh2, as listed in the Alexandria database.

Unit cell a=3.7936 b=3.7936 c=3.9027 alpha=90.00 beta=90.00 gamma=90.00
Closest atoms and distances in Å follow each position.
Element x y z (fractional)
1 Re 0.0000 0.0000 0.0000  4 As 2.68, 8 Rh 2.72
2 As 0.5000 0.5000 0.0000  4 Re 2.68, 8 Rh 2.72
3 Rh 0.0000 0.5000 0.5000  4 Rh 2.68, 4 As 2.72, 4 Re 2.72
4 Rh 0.5000 0.0000 0.5000  4 Rh 2.68, 4 As 2.72, 4 Re 2.72

Values from the calculation:
Calculated density = 13.8 g cm⁻³
Formation energy = 0.168 eV per atom
DOS(E_F) = 2.6 states/eV/cell

***

[4]
First-principles (meta-GGA SCAN) data for a PBEsol-optimized structure of ReAsRh2, as listed in the Alexandria database.

Unit cell a=2.9523 b=4.3621 c=4.3711 alpha=90.00 beta=90.00 gamma=90.00
Closest atoms and distances in Å follow each position.
Element x y z (fractional)
1 Re 0.0000 0.0000 0.0000  4 Rh 2.63, 4 As 2.64
2 As 0.5000 0.0000 0.5000  4 Rh 2.63, 4 Re 2.64
3 Rh 0.0000 0.5000 0.5000  4 As 2.63, 4 Rh 2.64
4 Rh 0.5000 0.5000 0.0000  4 Re 2.63, 4 Rh 2.64

Values from the calculation:
Calculated density = 13.8 g cm⁻³
Formation energy = 0.144 eV per atom
DOS(E_F) = 3.1 states/eV/cell

***

[5]
First-principles (meta-GGA SCAN) data for a PBEsol-optimized structure of Re2AsRu, as listed in the Alexandria database.

Unit cell a=2.9168 b=2.9168 c=6.6092 alpha=90.00 beta=90.00 gamma=90.00
Closest atoms and distances in Å follow each position.
Element x y z (fractional)
1 Re 0.0000 0.0000 0.2345  4 As 2.58, 4 Ru 2.71
2 Re 0.0000 0.0000 0.7655  4 As 2.58, 4 Ru 2.71
3 As 0.5000 0.5000 0.0000  8 Re 2.58
4 Ru 0.5000 0.5000 0.5000  8 Re 2.71, 4 Ru 2.92

Values from the calculation:
Calculated density = 16.2 g cm⁻³
Formation energy = 0.198 eV per atom
DOS(E_F) = 2.4 states/eV/cell

***

[6]
First-principles (meta-GGA SCAN) data for a PBEsol-optimized structure of Re2AsRu, as listed in the Alexandria database.

Unit cell a=5.1598 b=5.1598 c=5.1598 alpha=146.97 beta=129.75 gamma=61.46
Closest atoms and distances in Å follow each position.
Element x y z (fractional)
1 Re 0.2227 0.2227 0.0000  2 As 2.46, 4 Re 2.68
2 Re 0.7773 0.7773 0.0000  2 As 2.46, 4 Re 2.68
3 As 0.0000 0.5000 0.5000  4 Re 2.46, 4 Ru 2.64
4 Ru 0.5000 0.0000 0.5000  4 As 2.64, 8 Re 2.86-2.95, 2 Ru 2.93

Values from the calculation:
Calculated density = 16.0 g cm⁻³
Formation energy = 0.175 eV per atom
DOS(E_F) = 3.0 states/eV/cell

***

Q: Look up the calculated density of the fourth one.
A: 13.8 g cm⁻³

***

Q: Which formula does entry 3 have?
A: ReAsRh2